[1]
An optimized crystal structure of TbZnGaPt3. Source: Alexandria, functional PBE.

Summary:
As for the formation energy: -648 meV per atom. The total moment comes out at 0.000 μB/atom. For the uncorrected energy, the calculation gives -61.88 eV for the cell shown.

a = 5.661 Å, b = 6.695 Å, c = 6.861 Å
α = 119.20°, β = 90.00°, γ = 90.00°
Atoms (fractional coordinates):
Zn  0.750  0.062  0.125
Zn  0.250  0.938  0.875
Pt  0.000  0.290  0.000
Pt  0.750  0.837  0.674
Pt  0.500  0.290  0.000
Pt  0.500  0.710  0.000
Pt  0.000  0.710  0.000
Pt  0.250  0.163  0.326
Tb  0.750  0.306  0.612
Tb  0.250  0.694  0.388
Ga  0.750  0.635  0.269
Ga  0.250  0.365  0.731

---

[2]
An optimized crystal structure of VInB2H. Source: Alexandria, functional PBE.

Summary:
The total moment comes out at 0.000 μB/atom. For the uncorrected energy, the calculation gives -23.58 eV for the cell shown.

a = 3.911 Å, b = 3.316 Å, c = 3.911 Å
α = 90.00°, β = 90.00°, γ = 90.00°
Atoms (fractional coordinates):
B  0.000  0.000  0.500
B  0.500  0.000  0.000
V  0.000  0.500  0.000
In  0.500  0.500  0.500
H  0.000  0.000  0.000

---

[3]
An optimized crystal structure of DyHo7Ru2. Source: Alexandria, functional PBE.

Summary:
As for the formation energy: -13 meV per atom. The total moment comes out at 0.000 μB/atom. For the uncorrected energy, the calculation gives -55.33 eV for the cell shown.

a = 5.355 Å, b = 8.125 Å, c = 8.125 Å
α = 115.27°, β = 90.00°, γ = 90.00°
Atoms (fractional coordinates):
Ru  0.500  0.704  0.296
Ru  0.500  0.296  0.704
Ho  0.500  0.500  0.500
Ho  0.500  0.058  0.327
Ho  0.000  0.294  0.706
Ho  0.500  0.942  0.673
Ho  0.500  0.327  0.058
Ho  0.500  0.673  0.942
Ho  0.000  0.706  0.294
Dy  0.000  0.000  0.000